w.
Compound: SrGe2PdRu
Source: the Alexandria database
Functional: PBE-GGA
Structure: relaxed

a = 4.651 Å, b = 4.651 Å, c = 5.408 Å
α = 90.00°, β = 90.00°, γ = 90.00°
Fractional positions:
Sr 0.000 0.000 0.000
Ge 0.000 0.500 0.500
Ge 0.500 0.000 0.500
Pd 0.500 0.500 0.000
Ru 0.500 0.500 0.500

Crystal system: tetragonal
Calculated volume (Å³/cell): 117.0
Theoretical density (g/cm³): 6.25
Density of states at the Fermi level (states/eV/cell): 2.9

x.
Compound: SrGe2PdRu
Source: the Alexandria database
Functional: PBE-GGA
Structure: relaxed

a = 6.242 Å, b = 6.242 Å, c = 6.242 Å
α = 140.22°, β = 140.22°, γ = 57.51°
Fractional positions:
Sr 0.000 0.000 0.000
Ge 0.370 0.370 0.000
Ge 0.630 0.630 0.000
Pd 0.250 0.750 0.500
Ru 0.750 0.250 0.500

Crystal system: tetragonal
Calculated volume (Å³/cell): 98.7
Theoretical density (g/cm³): 7.41
Density of states at the Fermi level (states/eV/cell): 1.6

Least stable = w